(1)
# LaNiCl2, relaxed, DFT PBE
# **Size of the total moment**: 0.7 μB/f.u.
# **SG**: Cmmm
# **Final energy**: -4.260 eV per atom
# **Excess energy over the best structure of this formula in the dataset**: 513 meV/atom
data_LaNiCl2
_cell_length_a 3.8440
_cell_length_b 3.8440
_cell_length_c 7.8774
_cell_angle_alpha 90.00
_cell_angle_beta 90.00
_cell_angle_gamma 125.49
_space_group_name_H-M_alt 'P 1'
_space_group_IT_number 1
_space_group_name_Hall 'P 1'
loop_
_atom_site_label
_atom_site_fract_x
_atom_site_fract_y
_atom_site_fract_z
La1 0.5000 0.5000 0.2500
Ni1 0.5000 0.5000 0.7500
Cl1 0.0000 0.0000 0.5504
Cl2 0.0000 0.0000 0.9496



(2)
# U2TlSe6, relaxed, DFT PBE
# **Size of the total moment**: 3.9 μB/f.u.
# **SG**: Immm
# **Final energy**: -5.998 eV per atom
# **Excess energy over the best structure of this formula in the dataset**: 0 meV/atom
data_U2TlSe6
_cell_length_a 11.5517
_cell_length_b 11.5517
_cell_length_c 11.5517
_cell_angle_alpha 159.96
_cell_angle_beta 152.25
_cell_angle_gamma 34.47
_space_group_name_H-M_alt 'P 1'
_space_group_IT_number 1
_space_group_name_Hall 'P 1'
loop_
_atom_site_label
_atom_site_fract_x
_atom_site_fract_y
_atom_site_fract_z
Se1 0.6407 0.3920 0.2486
Se2 0.2255 0.2255 0.0000
Se3 0.8566 0.6080 0.2486
Se4 0.7745 0.7745 0.0000
Se5 0.3593 0.6080 0.7514
Se6 0.1434 0.3920 0.7514
Tl1 0.0000 0.0000 0.0000
U1 0.6811 0.1811 0.5000
U2 0.3189 0.8189 0.5000



(3)
# Pt5W3, relaxed, DFT PBE
# **Size of the total moment**: 0.0 μB/f.u.
# **ΔH_f (0 K)**: 0 meV per atom
# **SG**: C2/m
# **Final energy**: -8.633 eV per atom
# **Excess energy over the best structure of this formula in the dataset**: 153 meV/atom
data_Pt5W3
_cell_length_a 4.8763
_cell_length_b 7.4734
_cell_length_c 7.7397
_cell_angle_alpha 93.64
_cell_angle_beta 101.23
_cell_angle_gamma 70.96
_space_group_name_H-M_alt 'P 1'
_space_group_IT_number 1
_space_group_name_Hall 'P 1'
loop_
_atom_site_label
_atom_site_fract_x
_atom_site_fract_y
_atom_site_fract_z
Pt1 0.0057 0.2932 0.1615
Pt2 0.7303 0.5000 0.4369
Pt3 0.4049 0.8265 0.6810
Pt4 0.2019 0.2932 0.8393
Pt5 0.2704 0.5000 0.5640
Pt6 0.7314 0.1735 0.6810
Pt7 0.5960 0.1735 0.3197
Pt8 0.2695 0.8265 0.3197
Pt9 0.9951 0.7068 0.8393
Pt10 0.7989 0.7068 0.1615
W1 0.7288 0.0433 0.0004
W2 0.1664 0.1681 0.5004
W3 0.3800 0.5000 0.1290
W4 0.2721 0.9567 0.0004
W5 0.6208 0.5000 0.8718
W6 0.8345 0.8319 0.5004



(4)
# Zr2Ru, relaxed, DFT PBE
# **Size of the total moment**: 0.0 μB/f.u.
# **ΔH_f (0 K)**: -187 meV per atom
# **SG**: P6_3/mmc
# **Final energy**: -8.978 eV per atom
data_Zr2Ru
_cell_length_a 4.9966
_cell_length_b 4.9966
_cell_length_c 5.3634
_cell_angle_alpha 90.00
_cell_angle_beta 90.00
_cell_angle_gamma 120.00
_space_group_name_H-M_alt 'P 1'
_space_group_IT_number 1
_space_group_name_Hall 'P 1'
loop_
_atom_site_label
_atom_site_fract_x
_atom_site_fract_y
_atom_site_fract_z
Ru1 0.6667 0.3333 0.7500
Ru2 0.3333 0.6667 0.2500
Zr1 0.0000 0.0000 0.0000
Zr2 0.0000 0.0000 0.5000
Zr3 0.3333 0.6667 0.7500
Zr4 0.6667 0.3333 0.2500



(5)
# Tl2InMo, relaxed, DFT PBE
# **Size of the total moment**: 0.4 μB/f.u.
# **ΔH_f (0 K)**: 448 meV per atom
# **SG**: Immm
# **Final energy**: -4.128 eV per atom
# **Excess energy over the best structure of this formula in the dataset**: 0 meV/atom
data_Tl2InMo
_cell_length_a 7.7703
_cell_length_b 7.7703
_cell_length_c 4.8428
_cell_angle_alpha 71.81
_cell_angle_beta 71.81
_cell_angle_gamma 22.18
_space_group_name_H-M_alt 'P 1'
_space_group_IT_number 1
_space_group_name_Hall 'P 1'
loop_
_atom_site_label
_atom_site_fract_x
_atom_site_fract_y
_atom_site_fract_z
Mo1 0.2500 0.2500 0.2500
Tl1 0.9292 0.9292 0.0705
Tl2 0.5708 0.5708 0.4295
In1 0.7500 0.7500 0.7500



(6)
# RbB2Os, relaxed, DFT PBE
# **Size of the total moment**: 0.0 μB/f.u.
# **ΔH_f (0 K)**: 352 meV per atom
# **SG**: I4_1/amd
# **Final energy**: -6.036 eV per atom
# **Excess energy over the best structure of this formula in the dataset**: 0 meV/atom
data_RbB2Os
_cell_length_a 6.4341
_cell_length_b 6.4341
_cell_length_c 6.4270
_cell_angle_alpha 59.96
_cell_angle_beta 59.96
_cell_angle_gamma 90.00
_space_group_name_H-M_alt 'P 1'
_space_group_IT_number 1
_space_group_name_Hall 'P 1'
loop_
_atom_site_label
_atom_site_fract_x
_atom_site_fract_y
_atom_site_fract_z
Rb1 0.2500 0.7500 0.5000
Rb2 0.5000 0.5000 0.0000
B1 0.8746 0.6250 0.2500
B2 0.8754 0.1250 0.2500
B3 0.8750 0.1254 0.7500
B4 0.3750 0.1246 0.7500
Os1 0.7500 0.2500 0.5000
Os2 0.0000 0.0000 0.0000



(7)
# Al2Au3, relaxed, DFT PBE
# **Size of the total moment**: 0.0 μB/f.u.
# **ΔH_f (0 K)**: -269 meV per atom
# **SG**: R-3m
# **Final energy**: -3.733 eV per atom
data_Al2Au3
_cell_length_a 10.0460
_cell_length_b 10.0460
_cell_length_c 10.0460
_cell_angle_alpha 18.50
_cell_angle_beta 18.50
_cell_angle_gamma 18.50
_space_group_name_H-M_alt 'P 1'
_space_group_IT_number 1
_space_group_name_Hall 'P 1'
loop_
_atom_site_label
_atom_site_fract_x
_atom_site_fract_y
_atom_site_fract_z
Au1 0.2053 0.2053 0.2053
Au2 0.0000 0.0000 0.0000
Au3 0.7947 0.7947 0.7947
Al1 0.3990 0.3990 0.3990
Al2 0.6010 0.6010 0.6010



(8)
# Tl2TcCl2F4, relaxed, DFT PBE
# **Size of the total moment**: 3.0 μB/f.u.
# **SG**: C2/m
# **Final energy**: -4.586 eV per atom
data_Tl2TcCl2F4
_cell_length_a 5.3874
_cell_length_b 6.7415
_cell_length_c 6.7415
_cell_angle_alpha 54.91
_cell_angle_beta 92.36
_cell_angle_gamma 92.36
_space_group_name_H-M_alt 'P 1'
_space_group_IT_number 1
_space_group_name_Hall 'P 1'
loop_
_atom_site_label
_atom_site_fract_x
_atom_site_fract_y
_atom_site_fract_z
F1 0.7340 0.8159 0.2768
F2 0.2660 0.1841 0.7232
F3 0.2660 0.7232 0.1841
F4 0.7340 0.2768 0.8159
Tl1 0.8389 0.3602 0.3602
Tl2 0.1611 0.6398 0.6398
Tc1 0.5000 0.0000 0.0000
Cl1 0.3408 0.1828 0.1828
Cl2 0.6592 0.8172 0.8172



The highest final energy belongs to which entry? Al2Au3



Look up the size of the total moment of the sixth one. 0.0 μB/f.u.